Record 1
A plane-wave DFT calculation with PBE was carried out for Ru3Rh7 after structural relaxation.

The structure in CIF format:
```
data_Ru3Rh7
_symmetry_space_group_name_H-M 'C 1 2/m 1'
_symmetry_Int_Tables_number 12
_cell_length_a 13.834
_cell_length_b 3.835
_cell_length_c 5.413
_cell_angle_alpha 90.00
_cell_angle_beta 101.07
_cell_angle_gamma 90.00
loop_
_symmetry_equiv_pos_as_xyz
'x,y,z'
'-x,-y,-z'
'-x,y,-z'
'x,-y,z'
'x+1/2,y+1/2,z'
'-x+1/2,-y+1/2,-z'
'-x+1/2,y+1/2,-z'
'x+1/2,-y+1/2,z'
loop_
_atom_site_label
_atom_site_type_symbol
_atom_site_fract_x
_atom_site_fract_y
_atom_site_fract_z
_atom_site_occupancy
Ru1 Ru 0.000 0.000 0.000 1
Ru2 Ru 0.203 0.000 0.597 1
Rh1 Rh 0.000 0.000 0.500 1
Rh2 Rh 0.098 0.500 0.799 1
Rh3 Rh 0.101 0.500 0.300 1
Rh4 Rh 0.200 0.000 0.102 1
```



Record 2
A plane-wave DFT calculation with PBE was carried out for Ru8Rh after structural relaxation.

The structure in CIF format:
```
data_Ru8Rh
_symmetry_space_group_name_H-M 'I 4/m m m'
_symmetry_Int_Tables_number 139
_symmetry_space_group_name_Hall '-I 4 2'
_cell_length_a 8.111
_cell_length_b 8.111
_cell_length_c 3.822
_cell_angle_alpha 90.00
_cell_angle_beta 90.00
_cell_angle_gamma 90.00
loop_
_atom_site_label
_atom_site_type_symbol
_atom_site_fract_x
_atom_site_fract_y
_atom_site_fract_z
_atom_site_occupancy
Ru1 Ru 0.000 0.334 0.000 1
Ru2 Ru 0.168 0.168 0.500 1
Rh1 Rh 0.000 0.000 0.000 1
```



Record 3
# RuRh4, relaxed, DFT PBE
# Excess energy over the best structure of this formula in the dataset in eV per atom: 1.0235
data_RuRh4
_symmetry_space_group_name_H-M 'I m -3 m'
_symmetry_Int_Tables_number 229
_symmetry_space_group_name_Hall '-I 4 2 3'
_cell_length_a 5.654
_cell_length_b 5.654
_cell_length_c 5.654
_cell_angle_alpha 90.00
_cell_angle_beta 90.00
_cell_angle_gamma 90.00
loop_
_atom_site_label
_atom_site_type_symbol
_atom_site_fract_x
_atom_site_fract_y
_atom_site_fract_z
_atom_site_occupancy
Ru1 Ru 0.000 0.000 0.000 1
Rh1 Rh 0.250 0.250 0.250 1



Record 4
# RuRh4, relaxed, DFT PBE
# Excess energy over the best structure of this formula in the dataset in eV per atom: 1.5704
data_RuRh4
_symmetry_space_group_name_H-M 'P m -3 m'
_symmetry_Int_Tables_number 221
_symmetry_space_group_name_Hall '-P 4 2 3'
_cell_length_a 4.605
_cell_length_b 4.605
_cell_length_c 4.605
_cell_angle_alpha 90.00
_cell_angle_beta 90.00
_cell_angle_gamma 90.00
loop_
_atom_site_label
_atom_site_type_symbol
_atom_site_fract_x
_atom_site_fract_y
_atom_site_fract_z
_atom_site_occupancy
Ru1 Ru 0.000 0.000 0.000 1
Rh1 Rh 0.000 0.000 0.500 1
Rh2 Rh 0.500 0.500 0.500 1



Record 5
# Ru2Rh, relaxed, DFT PBE
# Excess energy over the best structure of this formula in the dataset in eV per atom: 0.0750
data_Ru2Rh
_symmetry_space_group_name_H-M 'I 41/a m d'
_symmetry_Int_Tables_number 141
_cell_length_a 3.831
_cell_length_b 3.831
_cell_length_c 22.908
_cell_angle_alpha 90.00
_cell_angle_beta 90.00
_cell_angle_gamma 90.00
loop_
_symmetry_equiv_pos_as_xyz
'x,y,z'
'-x,-y,-z'
'-y+1/4,x+3/4,z+1/4'
'y+1/4,-x+3/4,-z+1/4'
'-x+1/2,-y,z+1/2'
'x+1/2,y,-z+1/2'
'y+1/4,-x+1/4,z+3/4'
'-y+1/4,x+1/4,-z+3/4'
'x,-y,-z'
'-x,y,z'
'-y+1/4,-x+1/4,-z+3/4'
'y+1/4,x+1/4,z+3/4'
'-x+1/2,y,-z+1/2'
'x+1/2,-y,z+1/2'
'y+1/4,x+3/4,-z+1/4'
'-y+1/4,-x+3/4,z+1/4'
'x+1/2,y+1/2,z+1/2'
'-x+1/2,-y+1/2,-z+1/2'
'-y+3/4,x+1/4,z+3/4'
'y+3/4,-x+1/4,-z+3/4'
'-x,-y+1/2,z'
'x,y+1/2,-z'
'y+3/4,-x+3/4,z+1/4'
'-y+3/4,x+3/4,-z+1/4'
'x+1/2,-y+1/2,-z+1/2'
'-x+1/2,y+1/2,z+1/2'
'-y+3/4,-x+3/4,-z+1/4'
'y+3/4,x+3/4,z+1/4'
'-x,y+1/2,-z'
'x,-y+1/2,z'
'y+3/4,x+1/4,-z+3/4'
'-y+3/4,-x+1/4,z+3/4'
loop_
_atom_site_label
_atom_site_type_symbol
_atom_site_fract_x
_atom_site_fract_y
_atom_site_fract_z
_atom_site_occupancy
Ru1 Ru 0.000 0.250 0.124 1
Ru2 Ru 0.000 0.250 0.292 1
Rh1 Rh 0.000 0.250 0.793 1



Record 6
# Ru2Rh, relaxed, DFT PBE
# Excess energy over the best structure of this formula in the dataset in eV per atom: 0.0728
data_Ru2Rh
_symmetry_space_group_name_H-M 'I m m m'
_symmetry_Int_Tables_number 71
_symmetry_space_group_name_Hall '-I 2 2'
_cell_length_a 2.710
_cell_length_b 3.811
_cell_length_c 8.148
_cell_angle_alpha 90.00
_cell_angle_beta 90.00
_cell_angle_gamma 90.00
loop_
_atom_site_label
_atom_site_type_symbol
_atom_site_fract_x
_atom_site_fract_y
_atom_site_fract_z
_atom_site_occupancy
Ru1 Ru 0.000 0.000 0.171 1
Rh1 Rh 0.000 0.000 0.500 1



DFT formation energy (computed, eV/f.u.): 0.337 0.792 5.207 7.942 0.208 0.201